A geometry-optimized As2OsCl structure. Source: the Alexandria database, functional GGA-PBE.

Unit cell a=2.9889 b=4.9865 c=10.0644 alpha=90.00 beta=90.00 gamma=90.00
Last column: nearest neighbours and their distance in Å.
Space group Cmmm (No. 65)
Inequivalent atoms, fractional coordinates:
As: 0.0000 0.0000 0.2063  2 Os 2.56
Os: 0.0000 0.5000 0.0000  4 As 2.56
Cl: 0.0000 0.5000 0.5000  6 Cl 2.91-2.99

Summary:
- formation energy (no corrections) (eV/atom) = 0.402
- total magnetic moment (μB per cell) = 0.0

=====

A geometry-optimized As2OsCl structure. Source: the Alexandria database, functional GGA-PBE.

Unit cell a=3.2487 b=3.2487 c=7.2768 alpha=90.00 beta=90.00 gamma=90.00
Last column: nearest neighbours and their distance in Å.
Space group P4mm (No. 99)
Inequivalent atoms, fractional coordinates:
As: 0.0000 0.0000 0.0000  4 Os 2.54, 4 As 2.76
As: 0.5000 0.5000 0.2111  1 Os 2.62, 4 As 2.76
Os: 0.5000 0.5000 0.8508  5 As 2.54-2.62
Cl: 0.0000 0.0000 0.5792  4 Os 3.03, 1 As 3.06, 4 Cl 3.25

Summary:
- formation energy (no corrections) (eV/atom) = 0.460
- total magnetic moment (μB per cell) = 0.0

=====

A geometry-optimized AsOs4Cl structure. Source: the Alexandria database, functional GGA-PBE.

Unit cell a=7.4437 b=7.4437 c=7.4437 alpha=90.00 beta=90.00 gamma=90.00
Last column: nearest neighbours and their distance in Å.
Space group F-43m (No. 216)
Inequivalent atoms, fractional coordinates:
As: 0.0000 0.0000 0.0000  12 Os 3.08, 4 Cl 3.22
Os: 0.1256 0.1256 0.3744  6 Os 2.62-2.65
Cl: 0.2500 0.2500 0.7500  12 Os 3.09, 4 As 3.22

Summary:
- formation energy (no corrections) (eV/atom) = 1.451
- total magnetic moment (μB per cell) = 8.7

=====

A geometry-optimized AsOsCl3 structure. Source: the Alexandria database, functional GGA-PBE.

Unit cell a=4.8274 b=4.8274 c=4.8274 alpha=90.00 beta=90.00 gamma=90.00
Last column: nearest neighbours and their distance in Å.
Space group Pm-3m (No. 221)
Inequivalent atoms, fractional coordinates:
As: 0.0000 0.0000 0.0000  12 Cl 3.41
Os: 0.5000 0.5000 0.5000  6 Cl 2.41
Cl: 0.0000 0.5000 0.5000  2 Os 2.41

Summary:
- formation energy (no corrections) (eV/atom) = 0.644
- total magnetic moment (μB per cell) = 0.6

=====

A geometry-optimized AsOsCl structure. Source: the Alexandria database, functional GGA-PBE.

Unit cell a=3.2143 b=3.2143 c=11.9150 alpha=90.00 beta=90.00 gamma=90.00
Last column: nearest neighbours and their distance in Å.
Space group I4mm (No. 107)
Inequivalent atoms, fractional coordinates:
As: 0.0000 0.0000 0.0000  4 Os 2.48, 1 Cl 2.64
Os: 0.0000 0.0000 0.5841  1 Cl 2.32, 4 As 2.48
Cl: 0.0000 0.0000 0.7785  1 Os 2.32

Summary:
- formation energy (no corrections) (eV/atom) = 0.275
- total magnetic moment (μB per cell) = 0.0

=====

A geometry-optimized As2OsCl structure. Source: the Alexandria database, functional GGA-PBE.

Unit cell a=3.1192 b=4.5024 c=4.7094 alpha=90.00 beta=90.00 gamma=90.00
Last column: nearest neighbours and their distance in Å.
Space group Pmmm (No. 47)
Inequivalent atoms, fractional coordinates:
As: 0.0000 0.0000 0.0000  4 As 2.74, 4 Cl 2.82
As: 0.5000 0.5000 0.0000  4 As 2.74, 4 Os 2.82
Os: 0.0000 0.5000 0.5000  4 Cl 2.74, 4 As 2.82
Cl: 0.5000 0.0000 0.5000  4 Os 2.74, 4 As 2.82

Summary:
- formation energy (no corrections) (eV/atom) = 0.903
- total magnetic moment (μB per cell) = 0.0

=====

A geometry-optimized AsOsCl structure. Source: the Alexandria database, functional GGA-PBE.

Unit cell a=6.1975 b=6.1975 c=6.1975 alpha=90.00 beta=90.00 gamma=90.00
Last column: nearest neighbours and their distance in Å.
Space group F-43m (No. 216)
Inequivalent atoms, fractional coordinates:
As: 0.0000 0.0000 0.0000  4 Cl 2.68, 4 Os 2.68
Os: 0.2500 0.2500 0.7500  4 As 2.68
Cl: 0.2500 0.2500 0.2500  4 As 2.68

Summary:
- formation energy (no corrections) (eV/atom) = 1.279
- total magnetic moment (μB per cell) = 6.4

=====

A geometry-optimized As3OsCl structure. Source: the Alexandria database, functional GGA-PBE.

Unit cell a=4.6320 b=4.6320 c=4.6320 alpha=90.00 beta=90.00 gamma=90.00
Last column: nearest neighbours and their distance in Å.
Space group Pm-3m (No. 221)
Inequivalent atoms, fractional coordinates:
As: 0.0000 0.0000 0.5000  2 Cl 2.32
Os: 0.5000 0.5000 0.5000  12 As 3.28
Cl: 0.0000 0.0000 0.0000  6 As 2.32

Summary:
- formation energy (no corrections) (eV/atom) = 1.726
- total magnetic moment (μB per cell) = 0.0

=====

A geometry-optimized As2OsCl structure. Source: the Alexandria database, functional GGA-PBE.

Unit cell a=6.4264 b=6.4264 c=6.4264 alpha=90.00 beta=90.00 gamma=90.00
Last column: nearest neighbours and their distance in Å.
Space group F-43m (No. 216)
Inequivalent atoms, fractional coordinates:
As: 0.0000 0.0000 0.0000  4 As 2.78, 4 Cl 2.78
As: 0.2500 0.2500 0.2500  4 As 2.78, 4 Os 2.78
Os: 0.0000 0.0000 0.5000  4 Cl 2.78, 4 As 2.78
Cl: 0.2500 0.2500 0.7500  4 As 2.78, 4 Os 2.78

Summary:
- formation energy (no corrections) (eV/atom) = 0.846
- total magnetic moment (μB per cell) = 0.0

=====

A geometry-optimized As2OsCl structure. Source: the Alexandria database, functional GGA-PBE.

Unit cell a=3.7905 b=3.7905 c=4.7713 alpha=90.00 beta=90.00 gamma=90.00
Last column: nearest neighbours and their distance in Å.
Space group P4/mmm (No. 123)
Inequivalent atoms, fractional coordinates:
As: 0.0000 0.5000 0.0000  4 As 2.68
Os: 0.0000 0.0000 0.5000  4 Cl 2.68
Cl: 0.5000 0.5000 0.5000  4 Os 2.68

Summary:
- formation energy (no corrections) (eV/atom) = 1.019
- total magnetic moment (μB per cell) = 0.0

=====

A geometry-optimized As2OsCl structure. Source: the Alexandria database, functional GGA-PBE.

Unit cell a=2.9492 b=2.9492 c=8.8890 alpha=90.00 beta=90.00 gamma=90.00
Last column: nearest neighbours and their distance in Å.
Space group P4mm (No. 99)
Inequivalent atoms, fractional coordinates:
As: 0.0000 0.0000 0.0000  4 Os 2.55
As: 0.5000 0.5000 0.2910  4 As 2.95
Os: 0.5000 0.5000 0.8342  4 As 2.55, 4 Cl 2.76
Cl: 0.0000 0.0000 0.6315  4 Os 2.76, 4 Cl 2.95

Summary:
- formation energy (no corrections) (eV/atom) = 0.527
- total magnetic moment (μB per cell) = 0.0

=====

A geometry-optimized As2OsCl structure. Source: the Alexandria database, functional GGA-PBE.

Unit cell a=8.7197 b=3.1542 c=7.4361 alpha=90.00 beta=104.03 gamma=90.00
Last column: nearest neighbours and their distance in Å.
Space group Cm (No. 8)
Inequivalent atoms, fractional coordinates:
As: 0.0000 0.0000 0.0000  1 As 2.35, 3 Os 2.48-2.53
As: 0.1511 0.0000 0.7784  1 As 2.35, 2 Os 2.60
Os: 0.2332 0.5000 0.0635  5 As 2.48-2.60, 2 Cl 2.52
Cl: 0.3285 0.0000 0.3313  2 Os 2.52

Summary:
- formation energy (no corrections) (eV/atom) = 0.117
- total magnetic moment (μB per cell) = 0.0

=====

What is the formation energy (no corrections) in the first record?
0.402 eV/atom

=====

Copy entry 6 word for word.
A geometry-optimized As2OsCl structure. Source: the Alexandria database, functional GGA-PBE.

Unit cell a=3.1192 b=4.5024 c=4.7094 alpha=90.00 beta=90.00 gamma=90.00
Last column: nearest neighbours and their distance in Å.
Space group Pmmm (No. 47)
Inequivalent atoms, fractional coordinates:
As: 0.0000 0.0000 0.0000  4 As 2.74, 4 Cl 2.82
As: 0.5000 0.5000 0.0000  4 As 2.74, 4 Os 2.82
Os: 0.0000 0.5000 0.5000  4 Cl 2.74, 4 As 2.82
Cl: 0.5000 0.0000 0.5000  4 Os 2.74, 4 As 2.82

Summary:
- formation energy (no corrections) (eV/atom) = 0.903
- total magnetic moment (μB per cell) = 0.0

=====

Number 4 is which compound?
AsOsCl3

=====

Which of these has the highest formation energy (no corrections)?
As3OsCl